[1]
Below is crystalline Mn2CdTc at its relaxed geometry, with properties calculated at the PBE level. Values from VASP.

Results
- DFT total energy (eV per atom) = -7.026
- N(E_F) (states/eV per cell) = 4.150

Cell and atoms, written as Quantum ESPRESSO input:
```
&SYSTEM
  ibrav = 0, nat = 4, ntyp = 3
/
ATOMIC_SPECIES
Mn 54.94 Mn.upf
Cd 112.41 Cd.upf
Tc 98.00 Tc.upf
ATOMIC_POSITIONS angstrom
Mn 0.000 0.000 0.000
Mn 0.000 2.243 2.356
Cd 1.473 0.000 2.412
Tc 0.000 0.000 4.893
CELL_PARAMETERS angstrom
-1.473 2.243 4.514
1.473 -2.243 4.514
1.473 2.243 -4.514
```


[2]
Below is crystalline Mn2CdTc at its relaxed geometry, with properties calculated at the PBE level. Values from VASP.

Results
- DFT total energy (eV per atom) = -7.034
- N(E_F) (states/eV per cell) = 4.572

Cell and atoms, written as Quantum ESPRESSO input:
```
&SYSTEM
  ibrav = 0, nat = 4, ntyp = 3
/
ATOMIC_SPECIES
Mn 54.94 Mn.upf
Cd 112.41 Cd.upf
Tc 98.00 Tc.upf
ATOMIC_POSITIONS angstrom
Mn 0.000 2.269 0.000
Mn 2.269 0.000 0.000
Cd 0.000 0.000 1.487
Tc 2.269 2.269 1.487
CELL_PARAMETERS angstrom
4.538 0.000 0.000
0.000 4.538 0.000
0.000 0.000 2.974
```


[3]
Below is crystalline Mn2CdTc at its relaxed geometry, with properties calculated at the PBE level. Values from VASP.

Results
- DFT total energy (eV per atom) = -6.953
- N(E_F) (states/eV per cell) = 1.778

Cell and atoms, written as Quantum ESPRESSO input:
```
&SYSTEM
  ibrav = 0, nat = 4, ntyp = 3
/
ATOMIC_SPECIES
Mn 54.94 Mn.upf
Cd 112.41 Cd.upf
Tc 98.00 Tc.upf
ATOMIC_POSITIONS angstrom
Mn 0.000 0.000 0.000
Mn 1.560 1.560 1.560
Cd 3.121 3.121 3.121
Tc 4.681 4.681 4.681
CELL_PARAMETERS angstrom
0.000 3.121 3.121
3.121 0.000 3.121
3.121 3.121 0.000
```


[4]
Below is crystalline Mn2CdTc at its relaxed geometry, with properties calculated at the PBE level. Values from VASP.

Results
- DFT total energy (eV per atom) = -7.175
- N(E_F) (states/eV per cell) = 1.901

Cell and atoms, written as Quantum ESPRESSO input:
```
&SYSTEM
  ibrav = 0, nat = 4, ntyp = 3
/
ATOMIC_SPECIES
Mn 54.94 Mn.upf
Cd 112.41 Cd.upf
Tc 98.00 Tc.upf
ATOMIC_POSITIONS angstrom
Mn 0.000 0.000 0.000
Mn 1.486 1.486 1.524
Cd 1.486 1.486 4.903
Tc 0.000 0.000 2.808
CELL_PARAMETERS angstrom
2.972 0.000 0.000
0.000 2.972 0.000
0.000 0.000 6.864
```


[5]
Below is crystalline Mn2CdTc at its relaxed geometry, with properties calculated at the PBE level. Values from VASP.

Results
- DFT total energy (eV per atom) = -6.959
- N(E_F) (states/eV per cell) = 3.425

Cell and atoms, written as Quantum ESPRESSO input:
```
&SYSTEM
  ibrav = 0, nat = 4, ntyp = 3
/
ATOMIC_SPECIES
Mn 54.94 Mn.upf
Cd 112.41 Cd.upf
Tc 98.00 Tc.upf
ATOMIC_POSITIONS angstrom
Mn 0.000 0.000 0.000
Mn 0.000 1.999 1.901
Cd 0.000 0.000 3.803
Tc 1.999 0.000 1.901
CELL_PARAMETERS angstrom
-1.999 1.999 3.803
1.999 -1.999 3.803
1.999 1.999 -3.803
```


[6]
Below is crystalline Mn2CdTc at its relaxed geometry, with properties calculated at the PBE level. Values from VASP.

Results
- DFT total energy (eV per atom) = -7.000
- N(E_F) (states/eV per cell) = 3.816

Cell and atoms, written as Quantum ESPRESSO input:
```
&SYSTEM
  ibrav = 0, nat = 4, ntyp = 3
/
ATOMIC_SPECIES
Mn 54.94 Mn.upf
Cd 112.41 Cd.upf
Tc 98.00 Tc.upf
ATOMIC_POSITIONS angstrom
Mn 2.043 0.000 1.126
Mn 6.133 0.000 4.018
Cd -0.299 0.000 2.572
Tc 4.387 0.000 0.000
CELL_PARAMETERS angstrom
4.387 -1.379 0.000
4.387 1.379 0.000
-0.598 0.000 5.144
```


Number 1: formation energy 0.379 eV per atom. Number 2: formation energy 0.371 eV per atom. Number 3: formation energy 0.452 eV per atom. Number 4: formation energy 0.230 eV per atom. Number 5: formation energy 0.446 eV per atom. Number 6: formation energy 0.405 eV per atom.